Al2OsCl | PBE | relaxed

E above lowest polymorph ... 836 meV per atom
Raw formation energy ... 139.0 kJ/mol of formula units
Spin magnetization ... 0.0 μB per formula unit
V ... 15.58 Å³ per atom
Calculated density ... 7449 kg/m3

a = 3.2402 Å, b = 4.7963 Å, c = 8.0224 Å
α = 90.00°, β = 90.00°, γ = 90.00°
Atoms (fractional coordinates):
Al 0.0000 0.0000 0.2488
Al 0.0000 0.0000 0.7512
Al 0.5000 0.5000 0.2512
Al 0.5000 0.5000 0.7488
Os 0.0000 0.5000 0.0000
Os 0.5000 0.0000 0.5000
Cl 0.0000 0.5000 0.5000
Cl 0.5000 0.0000 0.0000